DFT (PBE-GGA) results for a geometry-optimized NdDyY structure.

energy of formation from the pure elements	0.021	eV/atom
uncorrected energy	-31.54	eV per cell
density of states at the Fermi level	4.2	states/eV/f.u.
relative energy among the computed polymorphs	3	meV/atom
calculated volume	33.0	Å³/atom
ρ	6.637	g/cm³

```
data_NdDyY
_chemical_formula_sum 'Nd2 Dy2 Y2'
_space_group_name_H-M_alt 'I 4 m m'
_space_group_IT_number 107
_space_group_name_Hall 'I 4 -2'
_cell_length_a 3.600
_cell_length_b 3.600
_cell_length_c 15.275
_cell_angle_alpha 90.00
_cell_angle_beta 90.00
_cell_angle_gamma 90.00
loop_
_atom_site_label
_atom_site_type_symbol
_atom_site_fract_x
_atom_site_fract_y
_atom_site_fract_z
Nd1 Nd 0.000 0.000 0.000
Dy1 Dy 0.000 0.000 0.333
Y1 Y 0.000 0.000 0.669
```

DFT (PBE-GGA) results for a geometry-optimized LiSiPb structure.

uncorrected energy	-10.57	eV per cell
density of states at the Fermi level	0.8	states/eV/f.u.
relative energy among the computed polymorphs	206	meV/atom
calculated volume	22.0	Å³/atom
ρ	6.107	g/cm³

```
data_LiSiPb
_chemical_formula_sum 'Li1 Si1 Pb1'
_space_group_name_H-M_alt 'P 3 m 1'
_space_group_IT_number 156
_space_group_name_Hall 'P 3 -2"'
_cell_length_a 4.6655
_cell_length_b 4.6655
_cell_length_c 3.4942
_cell_angle_alpha 90.00
_cell_angle_beta 90.00
_cell_angle_gamma 120.00
loop_
_atom_site_label
_atom_site_type_symbol
_atom_site_fract_x
_atom_site_fract_y
_atom_site_fract_z
Li1 Li 0.0000 0.0000 0.0000
Si1 Si 0.3333 0.6667 0.8696
Pb1 Pb 0.6667 0.3333 0.4961
```